The following is a PBE calculation of a relaxed structure of TbNd2Al2, from Alexandria.

Values from the calculation:
The calculation puts the relative energy among the computed polymorphs at 164 meV/atom. The spin magnetization is 0.0 μB per formula unit. Its density of states at the Fermi level is 5.49 states/eV/f.u. The value obtained for the energy of formation from the pure elements is -0.14 eV per atom.

The structure in POSCAR format:
```
TbNd2Al2
1.0
-3.369 0.911 -1.231
-1.538 -6.089 -0.297
-4.602 -0.969 11.880
Al Tb Nd
4 2 4
Direct
0.250 0.349 0.983
0.250 0.712 0.628
0.750 0.288 0.372
0.750 0.651 0.017
0.750 0.465 0.790
0.250 0.535 0.210
0.750 0.774 0.428
0.250 0.226 0.572
0.750 0.070 0.141
0.250 0.930 0.859
```

=====

The following is a PBE calculation of a relaxed structure of TbNd3Al2, from Alexandria.

Values from the calculation:
The calculation puts the relative energy among the computed polymorphs at 0 meV/atom. The spin magnetization is 0.0 μB per formula unit. Its density of states at the Fermi level is 5.82 states/eV/f.u. The value obtained for the energy of formation from the pure elements is -0.25 eV per atom.

The structure in POSCAR format:
```
TbNd3Al2
1.0
5.233 0.000 0.000
0.000 6.702 0.000
0.000 0.000 9.780
Nd Al Tb
6 4 2
Direct
0.500 0.691 0.177
0.500 0.191 0.823
0.000 0.309 0.331
0.000 0.975 0.043
0.000 0.475 0.957
0.000 0.809 0.669
0.000 0.295 0.647
0.000 0.795 0.353
0.500 0.207 0.151
0.500 0.707 0.849
0.500 0.523 0.545
0.500 0.023 0.455
```

=====

The following is a PBE calculation of a relaxed structure of TbNd14Al, from Alexandria.

Values from the calculation:
The spin magnetization is 0.0 μB per formula unit. Its density of states at the Fermi level is 21.09 states/eV/f.u. The value obtained for the energy of formation from the pure elements is 0.02 eV per atom.

The structure in POSCAR format:
```
TbNd14Al
1.0
-1.857 6.476 -2.027
-3.693 -4.303 -4.164
-8.435 -0.059 7.541
Nd Tb Al
14 1 1
Direct
0.180 0.820 0.742
0.901 0.676 0.000
0.180 0.820 0.258
0.815 0.185 0.500
0.686 0.902 0.232
0.686 0.902 0.768
0.389 0.611 0.500
0.324 0.099 0.000
0.613 0.387 0.768
0.314 0.109 0.500
0.098 0.314 0.232
0.098 0.314 0.768
0.613 0.387 0.232
0.891 0.686 0.500
0.383 0.617 0.000
0.828 0.172 0.000
```

=====

The following is a PBE calculation of a relaxed structure of Tb4NdAl2, from Alexandria.

Values from the calculation:
The calculation puts the relative energy among the computed polymorphs at 0 meV/atom. The spin magnetization is 0.0 μB per formula unit. Its density of states at the Fermi level is 4.91 states/eV/f.u. The value obtained for the energy of formation from the pure elements is -0.20 eV per atom.

The structure in POSCAR format:
```
Tb4NdAl2
1.0
5.095 0.000 1.592
2.299 4.547 1.592
0.151 0.093 8.466
Nd Tb Al
1 4 2
Direct
0.000 0.000 0.000
0.846 0.846 0.462
0.419 0.419 0.744
0.154 0.154 0.538
0.581 0.581 0.256
0.282 0.282 0.155
0.718 0.718 0.845
```